Here is crystalline NbZnCo2Re at its relaxed geometry from the Alexandria database. Energies are from GGA-PBE.

Output
Its electronic total energy is -6.190 eV per atom. The space-group type is P4/mmm (123).

Structure (extended XYZ):
```
5
Lattice="-3.199 0.311 2.639 2.671 -1.663 3.434 1.172 3.872 0.964" Properties=species:S:1:pos:R:3 pbc="T T T"
Co 0.586 1.936 0.482
Co -1.600 0.156 1.320
Zn 0.000 0.000 0.000
Nb 1.335 -0.832 1.717
Re 0.322 1.260 3.518
```